Os3Br (GGA-PBEsol, relaxed); spin magnetization = 0.00 μB/f.u.; crystal system = orthorhombic; energy relative to the elements, uncorrected = 1128 meV/atom; energy above the most stable polymorph in this dataset = 0.348 eV per atom; space group = Cmmm, No. 65
1.0
2.7123 -0.0141 0.0000
-1.3420 2.3571 0.0000
0.0000 0.0000 10.7034
Os Br
3 1
direct
0.5000 0.5000 0.2930 Os
0.0000 0.0000 0.5000 Os
0.5000 0.5000 0.7070 Os
0.0000 0.0000 0.0000 Br

---

Os3Br (GGA-PBEsol, relaxed); spin magnetization = 0.00 μB/f.u.; crystal system = trigonal; energy relative to the elements, uncorrected = 780 meV/atom; energy above the most stable polymorph in this dataset = 0.000 eV per atom; space group = R-3m, No. 166
1.0
2.8081 0.0000 0.0000
1.4041 2.4319 0.0000
1.4041 0.8106 8.7648
Os Br
3 1
direct
0.2469 0.2469 0.2592 Os
0.7531 0.7531 0.7408 Os
0.5000 0.5000 0.5000 Os
0.0000 0.0000 0.0000 Br

---

OsBr (GGA-PBEsol, relaxed); spin magnetization = 0.57 μB/f.u.; crystal system = cubic; energy relative to the elements, uncorrected = 2080 meV/atom; energy above the most stable polymorph in this dataset = 1.301 eV per atom; space group = Fm-3m, No. 225
1.0
-0.2772 -2.3191 -2.8345
1.6203 -3.2924 0.1558
-2.0407 -3.0384 0.3059
Os Br
1 1
direct
0.5000 0.5000 0.5000 Os
0.0000 0.0000 0.0000 Br

---

OsBr3 (GGA-PBEsol, relaxed); spin magnetization = 0.00 μB/f.u.; crystal system = hexagonal; energy relative to the elements, uncorrected = 738 meV/atom; space group = P-6m2, No. 187
1.0
3.5426 0.0000 0.0000
-1.7713 3.0680 0.0000
0.0000 0.0000 8.0850
Br Os
3 1
direct
0.0000 0.0000 0.6921 Br
0.0000 0.0000 0.3079 Br
0.3333 0.6667 0.0000 Br
0.3333 0.6667 0.5000 Os

---

Os3Br (GGA-PBEsol, relaxed); spin magnetization = 0.00 μB/f.u.; crystal system = orthorhombic; energy relative to the elements, uncorrected = 1279 meV/atom; energy above the most stable polymorph in this dataset = 0.499 eV per atom; space group = Immm, No. 71
1.0
-0.6287 -2.0586 1.8329
4.2543 0.2539 1.7445
-3.2296 4.0089 1.2146
Os Br
3 1
direct
0.5000 0.5000 0.0000 Os
0.2598 0.7598 0.5195 Os
0.7402 0.2402 0.4805 Os
0.0000 0.0000 0.0000 Br

---

POsBr (GGA-PBEsol, relaxed); spin magnetization = 0.00 μB/f.u.; crystal system = orthorhombic; energy relative to the elements, uncorrected = 219 meV/atom; energy above the most stable polymorph in this dataset = 0.169 eV per atom; space group = Imm2, No. 44
1.0
-1.5177 2.1152 -1.3229
-2.3522 -2.1672 -0.7667
-0.8237 1.2233 6.1241
P Os Br
1 1 1
direct
0.2163 0.2163 0.4325 P
0.7863 0.7863 0.5725 Os
0.9975 0.9975 0.9950 Br

---

P2OsBr (GGA-PBEsol, relaxed); spin magnetization = 0.00 μB/f.u.; crystal system = tetragonal; energy relative to the elements, uncorrected = 122 meV/atom; energy above the most stable polymorph in this dataset = 0.000 eV per atom; space group = P4/mmm, No. 123
1.0
2.8310 0.0000 0.0000
0.0000 2.8310 0.0000
0.0000 0.0000 9.5590
P Br Os
2 1 1
direct
0.0000 0.0000 0.3405 P
0.0000 0.0000 0.6595 P
0.5000 0.5000 0.0000 Br
0.5000 0.5000 0.5000 Os

---

P2OsBr (GGA-PBEsol, relaxed); spin magnetization = 0.00 μB/f.u.; crystal system = tetragonal; energy relative to the elements, uncorrected = 677 meV/atom; energy above the most stable polymorph in this dataset = 0.555 eV per atom; space group = I4/mmm, No. 139
1.0
-1.2766 -1.6606 -3.8028
4.3166 -0.2418 0.3963
-1.7288 -2.2349 3.2962
Os Br P
1 1 2
direct
0.0000 0.5000 0.5000 Os
0.0000 0.0000 0.0000 Br
0.5000 0.0000 0.5000 P
0.5000 0.5000 0.0000 P

---

> Which formula does entry 8 have?

P2OsBr

---

> Among the records above, which one has the highest energy relative to the elements, uncorrected?

OsBr

---

> Which of these has the highest energy relative to the elements, uncorrected?

OsBr

---

Please write out number 4 again, unchanged.
OsBr3 (GGA-PBEsol, relaxed); spin magnetization = 0.00 μB/f.u.; crystal system = hexagonal; energy relative to the elements, uncorrected = 738 meV/atom; space group = P-6m2, No. 187
1.0
3.5426 0.0000 0.0000
-1.7713 3.0680 0.0000
0.0000 0.0000 8.0850
Br Os
3 1
direct
0.0000 0.0000 0.6921 Br
0.0000 0.0000 0.3079 Br
0.3333 0.6667 0.0000 Br
0.3333 0.6667 0.5000 Os